# CaPuPt10, optimized geometry, DFT PBE
# Size of the total moment ... 4.8 Bohr magnetons per cell
# DFT total energy ... -6.9343 eV/atom
# N(E_F) ... 1.52 states/eV per atom
# Crystal system ... orthorhombic
# Volume ... 18.58 Å³/atom
# Formation energy from the elements ... -0.5392 eV/atom
data_CaPuPt10
_cell_length_a 4.430
_cell_length_b 5.398
_cell_length_c 9.321
_cell_angle_alpha 90.00
_cell_angle_beta 90.00
_cell_angle_gamma 90.00
_symmetry_space_group_name_H-M 'P m m m'
_symmetry_Int_Tables_number 47
loop_
_symmetry_equiv_pos_as_xyz
'x,y,z'
'-x,-y,-z'
'-x,-y,z'
'x,y,-z'
'x,-y,-z'
'-x,y,z'
'-x,y,-z'
'x,-y,z'
loop_
_atom_site_label
_atom_site_fract_x
_atom_site_fract_y
_atom_site_fract_z
_atom_site_occupancy
Ca1 0.000 0.000 0.000 1
Pu1 0.000 0.500 0.500 1
Pt1 0.000 0.000 0.334 1
Pt2 0.000 0.500 0.168 1
Pt3 0.500 0.000 0.500 1
Pt4 0.500 0.252 0.252 1
Pt5 0.500 0.500 0.000 1

***

# La4SiHg3, optimized geometry, DFT PBE
# Size of the total moment ... 0.5 Bohr magnetons per cell
# DFT total energy ... -3.7725 eV/atom
# N(E_F) ... 1.12 states/eV per atom
# Crystal system ... tetragonal
# Volume ... 28.72 Å³/atom
data_La4SiHg3
_cell_length_a 3.897
_cell_length_b 3.897
_cell_length_c 15.131
_cell_angle_alpha 90.00
_cell_angle_beta 90.00
_cell_angle_gamma 90.00
_symmetry_space_group_name_H-M 'P 4/m m m'
_symmetry_Int_Tables_number 123
_symmetry_space_group_name_Hall '-P 4 2'
loop_
_atom_site_label
_atom_site_fract_x
_atom_site_fract_y
_atom_site_fract_z
_atom_site_occupancy
La1 0.000 0.000 0.103 1
La2 0.000 0.000 0.369 1
Si1 0.500 0.500 0.000 1
Hg1 0.500 0.500 0.242 1
Hg2 0.500 0.500 0.500 1

***

# PaInTe6, optimized geometry, DFT PBE
# Size of the total moment ... 0.0 Bohr magnetons per cell
# DFT total energy ... -4.1886 eV/atom
# N(E_F) ... 0.46 states/eV per atom
# Crystal system ... monoclinic
# Volume ... 33.74 Å³/atom
data_PaInTe6
_cell_length_a 7.732
_cell_length_b 8.965
_cell_length_c 7.902
_cell_angle_alpha 90.00
_cell_angle_beta 99.77
_cell_angle_gamma 90.00
_symmetry_space_group_name_H-M 'C 1 2/m 1'
_symmetry_Int_Tables_number 12
loop_
_symmetry_equiv_pos_as_xyz
'x,y,z'
'-x,-y,-z'
'-x,y,-z'
'x,-y,z'
'x+1/2,y+1/2,z'
'-x+1/2,-y+1/2,-z'
'-x+1/2,y+1/2,-z'
'x+1/2,-y+1/2,z'
loop_
_atom_site_label
_atom_site_fract_x
_atom_site_fract_y
_atom_site_fract_z
_atom_site_occupancy
Pa1 0.000 0.000 0.000 1
In1 0.000 0.500 0.500 1
Te1 0.162 0.317 0.807 1
Te2 0.178 0.000 0.696 1

***

# MgZr2C, optimized geometry, DFT PBE
# Size of the total moment ... 0.0 Bohr magnetons per cell
# DFT total energy ... -6.0868 eV/atom
# N(E_F) ... 1.38 states/eV per atom
# Crystal system ... cubic
# Volume ... 16.79 Å³/atom
# Formation energy from the elements ... 0.8919 eV/atom
data_MgZr2C
_cell_length_a 6.453
_cell_length_b 6.453
_cell_length_c 6.453
_cell_angle_alpha 90.00
_cell_angle_beta 90.00
_cell_angle_gamma 90.00
_symmetry_space_group_name_H-M 'F m -3 m'
_symmetry_Int_Tables_number 225
_symmetry_space_group_name_Hall '-F 4 2 3'
loop_
_atom_site_label
_atom_site_fract_x
_atom_site_fract_y
_atom_site_fract_z
_atom_site_occupancy
Mg1 0.000 0.000 0.000 1
Zr1 0.250 0.250 0.250 1
C1 0.000 0.000 0.500 1

***

# CaMo2H, optimized geometry, DFT PBE
# Size of the total moment ... 0.0 Bohr magnetons per cell
# DFT total energy ... -6.3146 eV/atom
# N(E_F) ... 1.25 states/eV per atom
# Crystal system ... tetragonal
# Volume ... 16.97 Å³/atom
data_CaMo2H
_cell_length_a 5.773
_cell_length_b 5.773
_cell_length_c 8.149
_cell_angle_alpha 90.00
_cell_angle_beta 90.00
_cell_angle_gamma 90.00
_symmetry_space_group_name_H-M 'I 41/a m d'
_symmetry_Int_Tables_number 141
loop_
_symmetry_equiv_pos_as_xyz
'x,y,z'
'-x,-y,-z'
'-y+1/4,x+3/4,z+1/4'
'y+1/4,-x+3/4,-z+1/4'
'-x+1/2,-y,z+1/2'
'x+1/2,y,-z+1/2'
'y+1/4,-x+1/4,z+3/4'
'-y+1/4,x+1/4,-z+3/4'
'x,-y,-z'
'-x,y,z'
'-y+1/4,-x+1/4,-z+3/4'
'y+1/4,x+1/4,z+3/4'
'-x+1/2,y,-z+1/2'
'x+1/2,-y,z+1/2'
'y+1/4,x+3/4,-z+1/4'
'-y+1/4,-x+3/4,z+1/4'
'x+1/2,y+1/2,z+1/2'
'-x+1/2,-y+1/2,-z+1/2'
'-y+3/4,x+1/4,z+3/4'
'y+3/4,-x+1/4,-z+3/4'
'-x,-y+1/2,z'
'x,y+1/2,-z'
'y+3/4,-x+3/4,z+1/4'
'-y+3/4,x+3/4,-z+1/4'
'x+1/2,-y+1/2,-z+1/2'
'-x+1/2,y+1/2,z+1/2'
'-y+3/4,-x+3/4,-z+1/4'
'y+3/4,x+3/4,z+1/4'
'-x,y+1/2,-z'
'x,-y+1/2,z'
'y+3/4,x+1/4,-z+3/4'
'-y+3/4,-x+1/4,z+3/4'
loop_
_atom_site_label
_atom_site_fract_x
_atom_site_fract_y
_atom_site_fract_z
_atom_site_occupancy
Ca1 0.000 0.250 0.375 1
Mo1 0.000 0.000 0.000 1
H1 0.000 0.250 0.875 1

***

# Li15Mg4Pd, optimized geometry, DFT PBE
# Size of the total moment ... 0.0 Bohr magnetons per cell
# DFT total energy ... -2.0906 eV/atom
# N(E_F) ... 0.43 states/eV per atom
# Crystal system ... tetragonal
# Volume ... 18.97 Å³/atom
# Formation energy from the elements ... -0.0767 eV/atom
data_Li15Mg4Pd
_cell_length_a 4.339
_cell_length_b 4.339
_cell_length_c 20.145
_cell_angle_alpha 90.00
_cell_angle_beta 90.00
_cell_angle_gamma 90.00
_symmetry_space_group_name_H-M 'P 4/m m m'
_symmetry_Int_Tables_number 123
_symmetry_space_group_name_Hall '-P 4 2'
loop_
_atom_site_label
_atom_site_fract_x
_atom_site_fract_y
_atom_site_fract_z
_atom_site_occupancy
Li1 0.000 0.000 0.000 1
Li2 0.000 0.000 0.183 1
Li3 0.000 0.000 0.394 1
Li4 0.000 0.500 0.078 1
Li5 0.000 0.500 0.287 1
Li6 0.000 0.500 0.500 1
Mg1 0.500 0.500 0.180 1
Mg2 0.500 0.500 0.394 1
Pd1 0.500 0.500 0.000 1

***

# TiIn2PdBr, optimized geometry, DFT PBE
# Size of the total moment ... 1.8 Bohr magnetons per cell
# DFT total energy ... -4.0561 eV/atom
# N(E_F) ... 0.60 states/eV per atom
# Crystal system ... tetragonal
# Volume ... 27.31 Å³/atom
data_TiIn2PdBr
_cell_length_a 5.217
_cell_length_b 5.217
_cell_length_c 5.017
_cell_angle_alpha 90.00
_cell_angle_beta 90.00
_cell_angle_gamma 90.00
_symmetry_space_group_name_H-M 'P 4/m m m'
_symmetry_Int_Tables_number 123
_symmetry_space_group_name_Hall '-P 4 2'
loop_
_atom_site_label
_atom_site_fract_x
_atom_site_fract_y
_atom_site_fract_z
_atom_site_occupancy
Ti1 0.000 0.000 0.000 1
In1 0.000 0.500 0.500 1
Pd1 0.000 0.000 0.500 1
Br1 0.500 0.500 0.000 1

***

# BaSr, optimized geometry, DFT PBE
# Size of the total moment ... 0.0 Bohr magnetons per cell
# DFT total energy ... -1.7915 eV/atom
# N(E_F) ... 1.38 states/eV per atom
# Crystal system ... tetragonal
# Volume ... 59.27 Å³/atom
# Formation energy from the elements ... 0.0108 eV/atom
data_BaSr
_cell_length_a 4.400
_cell_length_b 4.400
_cell_length_c 12.243
_cell_angle_alpha 90.00
_cell_angle_beta 90.00
_cell_angle_gamma 90.00
_symmetry_space_group_name_H-M 'P 4/n m m'
_symmetry_Int_Tables_number 129
loop_
_symmetry_equiv_pos_as_xyz
'x,y,z'
'-x,-y,-z'
'-y+1/2,x,z'
'y+1/2,-x,-z'
'-x+1/2,-y+1/2,z'
'x+1/2,y+1/2,-z'
'y,-x+1/2,z'
'-y,x+1/2,-z'
'x+1/2,-y,-z'
'-x+1/2,y,z'
'-y,-x,-z'
'y,x,z'
'-x,y+1/2,-z'
'x,-y+1/2,z'
'y+1/2,x+1/2,-z'
'-y+1/2,-x+1/2,z'
loop_
_atom_site_label
_atom_site_fract_x
_atom_site_fract_y
_atom_site_fract_z
_atom_site_occupancy
Ba1 0.250 0.250 0.133 1
Sr1 0.250 0.250 0.617 1

***

# CaTa4Fe, optimized geometry, DFT PBE
# Size of the total moment ... 5.6 Bohr magnetons per cell
# DFT total energy ... -8.9565 eV/atom
# N(E_F) ... 1.96 states/eV per atom
# Crystal system ... cubic
# Volume ... 20.32 Å³/atom
# Formation energy from the elements ... 0.6893 eV/atom
data_CaTa4Fe
_cell_length_a 7.871
_cell_length_b 7.871
_cell_length_c 7.871
_cell_angle_alpha 90.00
_cell_angle_beta 90.00
_cell_angle_gamma 90.00
_symmetry_space_group_name_H-M 'F -4 3 m'
_symmetry_Int_Tables_number 216
_symmetry_space_group_name_Hall 'F -4 2 3'
loop_
_atom_site_label
_atom_site_fract_x
_atom_site_fract_y
_atom_site_fract_z
_atom_site_occupancy
Ca1 0.000 0.000 0.000 1
Ta1 0.126 0.126 0.374 1
Fe1 0.250 0.250 0.750 1

***

# Sm3TmSi4, optimized geometry, DFT PBE
# Size of the total moment ... 0.0 Bohr magnetons per cell
# DFT total energy ... -5.6097 eV/atom
# N(E_F) ... 0.84 states/eV per atom
# Crystal system ... orthorhombic
# Volume ... 25.36 Å³/atom
data_Sm3TmSi4
_cell_length_a 4.123
_cell_length_b 6.234
_cell_length_c 15.785
_cell_angle_alpha 90.00
_cell_angle_beta 90.00
_cell_angle_gamma 90.00
_symmetry_space_group_name_H-M 'I m m m'
_symmetry_Int_Tables_number 71
_symmetry_space_group_name_Hall '-I 2 2'
loop_
_atom_site_label
_atom_site_fract_x
_atom_site_fract_y
_atom_site_fract_z
_atom_site_occupancy
Sm1 0.000 0.000 0.000 1
Sm2 0.000 0.500 0.194 1
Tm1 0.000 0.000 0.500 1
Si1 0.000 0.313 0.370 1

***

# YGa2, optimized geometry, DFT PBE
# Size of the total moment ... 0.0 Bohr magnetons per cell
# DFT total energy ... -4.5594 eV/atom
# N(E_F) ... 0.77 states/eV per atom
# Crystal system ... monoclinic
# Volume ... 22.62 Å³/atom
# Formation energy from the elements ... -0.3868 eV/atom
data_YGa2
_cell_length_a 5.863
_cell_length_b 5.800
_cell_length_c 4.295
_cell_angle_alpha 90.00
_cell_angle_beta 111.67
_cell_angle_gamma 90.00
_symmetry_space_group_name_H-M 'C 1 2/m 1'
_symmetry_Int_Tables_number 12
loop_
_symmetry_equiv_pos_as_xyz
'x,y,z'
'-x,-y,-z'
'-x,y,-z'
'x,-y,z'
'x+1/2,y+1/2,z'
'-x+1/2,-y+1/2,-z'
'-x+1/2,y+1/2,-z'
'x+1/2,-y+1/2,z'
loop_
_atom_site_label
_atom_site_fract_x
_atom_site_fract_y
_atom_site_fract_z
_atom_site_occupancy
Y1 0.000 0.000 0.000 1
Ga1 0.124 0.500 0.316 1

***

# CeTmHgSb, optimized geometry, DFT PBE
# Size of the total moment ... 5.5 Bohr magnetons per cell
# DFT total energy ... -4.2627 eV/atom
# N(E_F) ... 2.37 states/eV per atom
# Crystal system ... cubic
# Volume ... 26.76 Å³/atom
data_CeTmHgSb
_cell_length_a 7.537
_cell_length_b 7.537
_cell_length_c 7.537
_cell_angle_alpha 90.00
_cell_angle_beta 90.00
_cell_angle_gamma 90.00
_symmetry_space_group_name_H-M 'F -4 3 m'
_symmetry_Int_Tables_number 216
_symmetry_space_group_name_Hall 'F -4 2 3'
loop_
_atom_site_label
_atom_site_fract_x
_atom_site_fract_y
_atom_site_fract_z
_atom_site_occupancy
Ce1 0.000 0.000 0.000 1
Tm1 0.000 0.000 0.500 1
Hg1 0.250 0.250 0.750 1
Sb1 0.250 0.250 0.250 1

***

# ScV2RuRh, optimized geometry, DFT PBE
# Size of the total moment ... 0.4 Bohr magnetons per cell
# DFT total energy ... -7.3730 eV/atom
# N(E_F) ... 1.76 states/eV per atom
# Crystal system ... tetragonal
# Volume ... 19.41 Å³/atom
# Formation energy from the elements ... 0.8662 eV/atom
data_ScV2RuRh
_cell_length_a 4.444
_cell_length_b 4.444
_cell_length_c 4.914
_cell_angle_alpha 90.00
_cell_angle_beta 90.00
_cell_angle_gamma 90.00
_symmetry_space_group_name_H-M 'P 4/m m m'
_symmetry_Int_Tables_number 123
_symmetry_space_group_name_Hall '-P 4 2'
loop_
_atom_site_label
_atom_site_fract_x
_atom_site_fract_y
_atom_site_fract_z
_atom_site_occupancy
Sc1 0.000 0.000 0.000 1
V1 0.000 0.500 0.500 1
Ru1 0.500 0.500 0.000 1
Rh1 0.500 0.500 0.500 1

***

# AlSi3Cl, optimized geometry, DFT PBE
# Size of the total moment ... 0.0 Bohr magnetons per cell
# DFT total energy ... -3.1945 eV/atom
# N(E_F) ... 0.60 states/eV per atom
# Crystal system ... cubic
# Volume ... 21.17 Å³/atom
data_AlSi3Cl
_cell_length_a 4.730
_cell_length_b 4.730
_cell_length_c 4.730
_cell_angle_alpha 90.00
_cell_angle_beta 90.00
_cell_angle_gamma 90.00
_symmetry_space_group_name_H-M 'P m -3 m'
_symmetry_Int_Tables_number 221
_symmetry_space_group_name_Hall '-P 4 2 3'
loop_
_atom_site_label
_atom_site_fract_x
_atom_site_fract_y
_atom_site_fract_z
_atom_site_occupancy
Al1 0.000 0.000 0.000 1
Si1 0.000 0.500 0.500 1
Cl1 0.500 0.500 0.500 1

***

# Ba2UTl2Se6, optimized geometry, DFT PBE
# Size of the total moment ... 0.0 Bohr magnetons per cell
# DFT total energy ... -4.9327 eV/atom
# Crystal system ... monoclinic
# Volume ... 36.97 Å³/atom
data_Ba2UTl2Se6
_cell_length_a 8.071
_cell_length_b 13.505
_cell_length_c 7.886
_cell_angle_alpha 90.00
_cell_angle_beta 108.89
_cell_angle_gamma 90.00
_symmetry_space_group_name_H-M 'C 1 2/m 1'
_symmetry_Int_Tables_number 12
loop_
_symmetry_equiv_pos_as_xyz
'x,y,z'
'-x,-y,-z'
'-x,y,-z'
'x,-y,z'
'x+1/2,y+1/2,z'
'-x+1/2,-y+1/2,-z'
'-x+1/2,y+1/2,-z'
'x+1/2,-y+1/2,z'
loop_
_atom_site_label
_atom_site_fract_x
_atom_site_fract_y
_atom_site_fract_z
_atom_site_occupancy
Ba1 0.000 0.165 0.000 1
U1 0.000 0.500 0.000 1
Tl1 0.000 0.338 0.500 1
Se1 0.203 0.500 0.781 1
Se2 0.207 0.359 0.208 1